La4YTh3 after structural relaxation. Source: Alexandria, functional GGA-PBE.

Lattice parameters (Å, degrees): 5.1137 10.2683 10.4473 90.00 90.00 90.00
With the nearest neighbours (Å) after each atom.
Fractional coordinates of all 16 atoms:
La 0.2500 0.0012 0.1380  3 Th 3.61-3.63, 8 La 3.61-3.91, 1 Y 3.65
La 0.2500 0.2500 0.8679  8 La 3.63-3.84, 2 Y 3.68, 2 Th 3.69
La 0.2500 0.4988 0.1380  3 Th 3.61-3.63, 8 La 3.61-3.91, 1 Y 3.65
La 0.2500 0.7500 0.8573  4 Th 3.58, 8 La 3.61-3.91
La 0.7500 0.2500 0.1427  4 Th 3.58, 8 La 3.61-3.91
La 0.7500 0.5012 0.8620  3 Th 3.61-3.63, 8 La 3.61-3.91, 1 Y 3.65
La 0.7500 0.7500 0.1321  8 La 3.63-3.84, 2 Y 3.68, 2 Th 3.69
La 0.7500 0.9988 0.8620  3 Th 3.61-3.63, 8 La 3.61-3.91, 1 Y 3.65
Y 0.2500 0.7500 0.3856  8 Th 3.50-3.64, 4 La 3.65-3.68
Y 0.7500 0.2500 0.6144  8 Th 3.50-3.64, 4 La 3.65-3.68
Th 0.2500 0.2500 0.3820  2 Y 3.53, 6 Th 3.56-3.61, 4 La 3.58-3.61
Th 0.2500 0.5024 0.6159  3 Y 3.50-3.64, 5 Th 3.52-3.61, 4 La 3.58-3.69
Th 0.2500 0.9976 0.6159  3 Y 3.50-3.64, 5 Th 3.52-3.61, 4 La 3.58-3.69
Th 0.7500 0.0024 0.3841  3 Y 3.50-3.64, 5 Th 3.52-3.61, 4 La 3.58-3.69
Th 0.7500 0.4976 0.3841  3 Y 3.50-3.64, 5 Th 3.52-3.61, 4 La 3.58-3.69
Th 0.7500 0.7500 0.6180  2 Y 3.53, 6 Th 3.56-3.61, 4 La 3.58-3.61

Its electronic total energy is -6.024 eV/atom. Its energy relative to the elements is 0.24 eV/f.u.

---

La3Y4Th after structural relaxation. Source: Alexandria, functional GGA-PBE.

Lattice parameters (Å, degrees): 3.4797 11.8838 13.3002 90.00 90.00 90.00
With the nearest neighbours (Å) after each atom.
Fractional coordinates of all 16 atoms:
La 0.0000 0.0000 0.0000  2 La 3.48, 8 Y 3.86
La 0.0000 0.5000 0.2300  6 Y 3.48-3.69, 2 La 3.48, 2 Th 3.52
La 0.0000 0.5000 0.7700  6 Y 3.48-3.69, 2 La 3.48, 2 Th 3.52
La 0.5000 0.0000 0.2700  6 Y 3.48-3.69, 2 La 3.48, 2 Th 3.52
La 0.5000 0.0000 0.7300  6 Y 3.48-3.69, 2 La 3.48, 2 Th 3.52
La 0.5000 0.5000 0.5000  2 La 3.48, 8 Y 3.86
Y 0.0000 0.2510 0.3674  1 Th 3.47, 5 La 3.48-3.86, 5 Y 3.48-3.57
Y 0.0000 0.2510 0.6326  1 Th 3.47, 5 La 3.48-3.86, 5 Y 3.48-3.57
Y 0.0000 0.7490 0.3674  1 Th 3.47, 5 La 3.48-3.86, 5 Y 3.48-3.57
Y 0.0000 0.7490 0.6326  1 Th 3.47, 5 La 3.48-3.86, 5 Y 3.48-3.57
Y 0.5000 0.2490 0.1326  1 Th 3.47, 5 La 3.48-3.86, 5 Y 3.48-3.57
Y 0.5000 0.2490 0.8674  1 Th 3.47, 5 La 3.48-3.86, 5 Y 3.48-3.57
Y 0.5000 0.7510 0.1326  1 Th 3.47, 5 La 3.48-3.86, 5 Y 3.48-3.57
Y 0.5000 0.7510 0.8674  1 Th 3.47, 5 La 3.48-3.86, 5 Y 3.48-3.57
Th 0.0000 0.0000 0.5000  4 Y 3.47, 2 Th 3.48, 4 La 3.52
Th 0.5000 0.5000 0.0000  4 Y 3.47, 2 Th 3.48, 4 La 3.52

Its electronic total energy is -5.865 eV/atom. As for the polymorph energy (0 for the lowest one): 0.0 kJ/mol of atoms. Its energy relative to the elements is 1.14 eV/f.u.

---

La2Y4Th after structural relaxation. Source: Alexandria, functional GGA-PBE.

Lattice parameters (Å, degrees): 21.4087 21.4087 21.4087 9.63 9.63 9.63
With the nearest neighbours (Å) after each atom.
Fractional coordinates of all 7 atoms:
La 0.2358 0.2358 0.2358  4 Y 3.47-3.62, 6 La 3.59
La 0.7642 0.7642 0.7642  4 Y 3.47-3.62, 6 La 3.59
Y 0.1440 0.1440 0.1440  9 Y 3.56-3.59, 3 La 3.62
Y 0.2901 0.2901 0.2901  3 Th 3.46, 1 La 3.47, 6 Y 3.59
Y 0.7099 0.7099 0.7099  3 Th 3.46, 1 La 3.47, 6 Y 3.59
Y 0.8560 0.8560 0.8560  9 Y 3.56-3.59, 3 La 3.62
Th 0.0000 0.0000 0.0000  6 Y 3.46, 6 Th 3.59

Its electronic total energy is -6.090 eV/atom. As for the polymorph energy (0 for the lowest one): 3.9 kJ/mol of atoms. Its energy relative to the elements is 0.50 eV/f.u.

---

La6Y4Th after structural relaxation. Source: Alexandria, functional GGA-PBE.

Lattice parameters (Å, degrees): 5.7778 5.7778 26.4038 90.00 90.00 118.11
With the nearest neighbours (Å) after each atom.
Fractional coordinates of all 22 atoms:
La 0.0000 0.0000 0.0000  8 Y 3.33-3.61
La 0.0000 0.0000 0.5000  8 Y 3.33-3.61
La 0.0418 0.9582 0.7500  2 Y 3.29, 3 Th 3.36-3.39
La 0.3101 0.6899 0.0983  7 Y 3.44-3.80
La 0.3101 0.6899 0.4017  7 Y 3.44-3.80
La 0.3672 0.6328 0.6820  5 La 3.59-3.89, 4 Y 3.63-3.70, 3 Th 3.75-3.85
La 0.3672 0.6328 0.8180  5 La 3.59-3.89, 4 Y 3.63-3.70, 3 Th 3.75-3.85
La 0.6328 0.3672 0.1820  5 La 3.59-3.89, 4 Y 3.63-3.70, 3 Th 3.75-3.85
La 0.6328 0.3672 0.3180  5 La 3.59-3.89, 4 Y 3.63-3.70, 3 Th 3.75-3.85
La 0.6899 0.3101 0.5983  7 Y 3.44-3.80
La 0.6899 0.3101 0.9017  7 Y 3.44-3.80
La 0.9582 0.0418 0.2500  2 Y 3.29, 3 Th 3.36-3.39
Y 0.0309 0.9691 0.6255  6 La 3.29-3.65
Y 0.0309 0.9691 0.8745  6 La 3.29-3.65
Y 0.3443 0.6557 0.5449  8 La 3.55-3.80, 2 Y 3.76-3.89
Y 0.3443 0.6557 0.9551  8 La 3.55-3.80, 2 Y 3.76-3.89
Y 0.6557 0.3443 0.0449  8 La 3.55-3.80, 2 Y 3.76-3.89
Y 0.6557 0.3443 0.4551  8 La 3.55-3.80, 2 Y 3.76-3.89
Y 0.9691 0.0309 0.1255  6 La 3.29-3.65
Y 0.9691 0.0309 0.3745  6 La 3.29-3.65
Th 0.3002 0.6998 0.2500  5 La 3.36-3.75
Th 0.6998 0.3002 0.7500  5 La 3.36-3.75

Its electronic total energy is -5.585 eV/atom. Its energy relative to the elements is 1.40 eV/f.u.